DFT (PBE-GGA) results for an optimized crystal structure of NaSbP3.

## Properties
space-group type	Pm-3m
M_tot	0.00	Bohr magnetons per cell
density	2902	kg/m3
ΔE_f (raw)	0.815	eV/atom

```
5
Lattice="5.143 0.000 0.000 0.000 5.143 0.000 0.000 0.000 5.143" Properties=species:S:1:pos:R:3 pbc="T T T"
Na 0.000 0.000 0.000
Sb 2.571 2.571 2.571
P 0.000 2.571 2.571
P 2.571 0.000 2.571
P 2.571 2.571 0.000
```